# 1
This record from the Alexandria database describes CaFeHg2Ru after structural relaxation. The functional is GGA-PBEsol.

Cell lengths 5.1569, 5.1569, 4.4607 Å; angles 90.00, 90.00, 90.00 degrees
Closest atoms and distances in Å follow each position.
Space group P4/mmm (No. 123)
One atom of each set of equivalent atoms:
1 Ca 0.0000 0.0000 0.0000  8 Hg 3.41, 4 Fe 3.65
2 Fe 0.5000 0.5000 0.0000  2 Ru 2.23
3 Hg 0.0000 0.5000 0.5000  2 Ru 2.58
4 Ru 0.5000 0.5000 0.5000  2 Fe 2.23

Computed properties:
- energy of formation from the pure elements (eV/f.u.) = 2.36

---

# 2
This record from the Alexandria database describes TmMg2 after structural relaxation. The functional is GGA-PBEsol.

Cell lengths 8.3869, 8.3869, 8.3869 Å; angles 90.00, 90.00, 90.00 degrees
Closest atoms and distances in Å follow each position.
Space group Fd-3m (No. 227, origin choice 2)
One atom of each set of equivalent atoms:
1 Tm 0.1250 0.1250 0.1250  12 Mg 3.48, 4 Tm 3.63
2 Mg 0.0000 0.0000 0.5000  6 Mg 2.97

Computed properties:
- energy of formation from the pure elements (eV/f.u.) = -0.11

---

# 3
This record from the Alexandria database describes LuAl7Fe5 after structural relaxation. The functional is GGA-PBEsol.

Cell lengths 4.9430, 8.4960, 8.4921 Å; angles 90.00, 90.00, 90.00 degrees
Closest atoms and distances in Å follow each position.
Space group Imm2 (No. 44)
One atom of each set of equivalent atoms:
1 Lu 0.0000 0.0000 0.0000  10 Al 2.82-3.16, 2 Fe 3.14
2 Al 0.0000 0.0000 0.3446  4 Fe 2.57, 5 Al 2.65-2.82
3 Al 0.0000 0.0000 0.6675  6 Fe 2.57-2.63, 3 Al 2.74-2.86, 1 Lu 2.82
4 Al 0.0000 0.2931 0.5013  5 Fe 2.44-2.62, 3 Al 2.63-2.72
5 Al 0.0000 0.3410 0.0155  5 Fe 2.53-2.62, 4 Al 2.70-2.76
6 Al 0.0000 0.5000 0.7319  4 Fe 2.46, 4 Al 2.63-2.65
7 Fe 0.0000 0.5000 0.2727  4 Fe 2.47, 6 Al 2.57-2.63
8 Fe 0.2469 0.2498 0.7579  3 Fe 2.44-2.50, 7 Al 2.44-2.62

Computed properties:
- energy of formation from the pure elements (eV/f.u.) = -5.12

---

# 4
This record from the Alexandria database describes MgIn2Ru after structural relaxation. The functional is GGA-PBEsol.

Cell lengths 3.3047, 3.7088, 5.9533 Å; angles 90.00, 90.00, 90.00 degrees
Closest atoms and distances in Å follow each position.
Space group Pmmm (No. 47)
One atom of each set of equivalent atoms:
1 Mg 0.0000 0.0000 0.0000  8 In 2.95, 2 Ru 2.98
2 In 0.5000 0.5000 0.2659  1 In 2.79, 4 Ru 2.85, 4 Mg 2.95
3 Ru 0.0000 0.0000 0.5000  8 In 2.85, 2 Mg 2.98

Computed properties:
- energy of formation from the pure elements (eV/f.u.) = 0.00

---

# 5
This record from the Alexandria database describes TaHgRu2 after structural relaxation. The functional is GGA-PBEsol.

Cell lengths 3.1328, 3.1328, 6.5214 Å; angles 90.00, 90.00, 90.00 degrees
Closest atoms and distances in Å follow each position.
Space group P4/mmm (No. 123)
One atom of each set of equivalent atoms:
1 Ta 0.0000 0.0000 0.0000  8 Ru 2.66
2 Hg 0.0000 0.0000 0.5000  8 Ru 2.85, 4 Hg 3.13
3 Ru 0.5000 0.5000 0.2259  4 Ta 2.66, 4 Hg 2.85, 1 Ru 2.95

Computed properties:
- energy of formation from the pure elements (eV/f.u.) = -0.15

---

# 6
This record from the Alexandria database describes TaP2RhS after structural relaxation. The functional is GGA-PBEsol.

Cell lengths 4.4163, 4.4163, 4.5479 Å; angles 90.00, 90.00, 90.00 degrees
Closest atoms and distances in Å follow each position.
Space group P4/mmm (No. 123)
One atom of each set of equivalent atoms:
1 Ta 0.0000 0.0000 0.0000  4 S 3.12, 8 P 3.17
2 P 0.0000 0.5000 0.5000  2 Rh 2.21
3 Rh 0.5000 0.5000 0.5000  4 P 2.21, 2 S 2.27
4 S 0.5000 0.5000 0.0000  2 Rh 2.27

Computed properties:
- formation energy from raw total energies (meV per atom) = 788

---

# 7
This record from the Alexandria database describes Zr6FeCl14 after structural relaxation. The functional is GGA-PBEsol.

Cell lengths 14.3800, 12.7876, 11.7054 Å; angles 90.00, 90.00, 90.00 degrees
Closest atoms and distances in Å follow each position.
Space group Cmce (No. 64)
One atom of each set of equivalent atoms:
1 Zr 0.0000 0.1542 0.1129  1 Fe 2.37, 4 Cl 2.53
2 Zr 0.1210 0.0733 0.8801  1 Fe 2.42, 5 Cl 2.51-2.62
3 Fe 0.0000 0.0000 0.0000  6 Zr 2.37-2.42
4 Cl 0.0000 0.1579 0.7412  3 Zr 2.62-2.83
5 Cl 0.1230 0.0864 0.2483  2 Zr 2.53-2.54
6 Cl 0.1230 0.2429 0.9924  2 Zr 2.53-2.54
7 Cl 0.2505 0.0000 0.0000  2 Zr 2.51
8 Cl 0.2500 0.1549 0.7500  2 Zr 2.62

Computed properties:
- formation energy from raw total energies (meV per atom) = -1701

---

# 8
This record from the Alexandria database describes ScMoAu2 after structural relaxation. The functional is GGA-PBEsol.

Cell lengths 2.9269, 4.6288, 4.9758 Å; angles 90.00, 90.00, 90.00 degrees
Closest atoms and distances in Å follow each position.
Space group Pmm2 (No. 25)
One atom of each set of equivalent atoms:
1 Sc 0.0000 0.0000 0.0000  8 Au 2.84-2.90, 2 Sc 2.93, 2 Mo 2.93
2 Mo 0.0000 0.5000 0.6385  8 Au 2.82-2.95, 2 Mo 2.93, 2 Sc 2.93
3 Au 0.5000 0.0000 0.5033  4 Mo 2.82, 4 Sc 2.87-2.90, 4 Au 2.90-2.93
4 Au 0.5000 0.5000 0.1536  4 Mo 2.82-2.95, 4 Sc 2.84, 4 Au 2.90-2.93

Computed properties:
- energy of formation from the pure elements (eV/f.u.) = -0.72
- energy above the most stable polymorph in this dataset (eV per atom) = 0.0066

---

# 9
This record from the Alexandria database describes CaHg2 after structural relaxation. The functional is GGA-PBEsol.

Cell lengths 4.1118, 6.2911, 11.7199 Å; angles 90.00, 90.00, 90.00 degrees
Closest atoms and distances in Å follow each position.
Space group Immm (No. 71)
One atom of each set of equivalent atoms:
1 Ca 0.0000 0.0000 0.1711  8 Hg 3.07-3.25
2 Hg 0.0000 0.2575 0.5000  6 Hg 3.05-3.24, 4 Ca 3.25
3 Hg 0.0000 0.5000 0.1347  5 Hg 3.06-3.16, 4 Ca 3.07-3.17

Computed properties:
- energy of formation from the pure elements (eV/f.u.) = -1.45

---

# 10
This record from the Alexandria database describes CuTeSe2 after structural relaxation. The functional is GGA-PBEsol.

Cell lengths 5.5666, 5.5666, 13.3093 Å; angles 90.00, 90.00, 90.00 degrees
Closest atoms and distances in Å follow each position.
Space group I-42d (No. 122)
One atom of each set of equivalent atoms:
1 Cu 0.0000 0.0000 0.0000  4 Se 2.41
2 Te 0.0000 0.0000 0.5000  4 Se 2.78
3 Se 0.1886 0.2500 0.1250  2 Cu 2.41

Computed properties:
- formation energy from raw total energies (meV per atom) = 174

---

# 11
This record from the Alexandria database describes ScAgMo after structural relaxation. The functional is GGA-PBEsol.

Cell lengths 3.9058, 3.9328, 13.3610 Å; angles 90.00, 90.00, 90.00 degrees
Closest atoms and distances in Å follow each position.
Space group Fmm2 (No. 42)
One atom of each set of equivalent atoms:
1 Sc 0.0000 0.0000 0.0000  4 Sc 2.77, 4 Mo 2.94-2.95, 4 Ag 3.03-3.04
2 Ag 0.0000 0.0000 0.3265  4 Ag 2.77, 4 Mo 2.91-2.92, 4 Sc 3.03-3.04
3 Mo 0.0000 0.0000 0.6646  4 Mo 2.77, 4 Ag 2.91-2.92, 4 Sc 2.94-2.95

Computed properties:
- energy of formation from the pure elements (eV/f.u.) = 0.48

---

# 12
This record from the Alexandria database describes K2Tl after structural relaxation. The functional is GGA-PBEsol.

Cell lengths 4.2330, 4.2330, 15.0933 Å; angles 90.00, 90.00, 90.00 degrees
Closest atoms and distances in Å follow each position.
Space group I4/mmm (No. 139)
One atom of each set of equivalent atoms:
1 K 0.0000 0.0000 0.1375  4 Tl 3.64
2 Tl 0.0000 0.0000 0.5000  8 K 3.64

Computed properties:
- energy of formation from the pure elements (eV/f.u.) = 0.04
- energy above the most stable polymorph in this dataset (eV per atom) = 0.0576